1.
A relaxed structure of NiP, computed with PBE-GGA.

a = 5.8225 Å, b = 5.8225 Å, c = 5.8225 Å
α = 109.47°, β = 109.47°, γ = 109.47°
Fractional coordinates of all 8 atoms:
Ni1 0.0000 0.0000 0.2713
Ni2 0.0000 0.2713 0.0000
Ni3 0.2713 0.0000 0.0000
Ni4 0.7287 0.7287 0.7287
P1 0.0000 0.0000 0.6290
P2 0.0000 0.6290 0.0000
P3 0.3710 0.3710 0.3710
P4 0.6290 0.0000 0.0000

Properties
The calculation puts the energy relative to the elements at -0.179 eV/atom. The value obtained for the calculated volume is 152.0 Å³ per cell. The calculation puts the density of states at the Fermi level at 5.308 states/eV/cell. The calculation puts the total DFT energy (no corrections) at -5.77 eV/atom.

2.
A relaxed structure of CeIn3Hg, computed with PBE-GGA.

a = 5.7895 Å, b = 5.8116 Å, c = 6.5212 Å
α = 114.53°, β = 101.15°, γ = 108.36°
Fractional coordinates of all 5 atoms:
Ce1 0.0000 0.0000 0.0000
In1 0.0000 0.0000 0.5000
In2 0.5000 0.5000 0.0000
In3 0.5000 0.5000 0.5000
Hg1 0.0000 0.5000 0.5000

Properties
The calculation puts the energy relative to the elements at 0.155 eV/atom. The value obtained for the calculated volume is 175.6 Å³ per cell. The calculation puts the density of states at the Fermi level at 10.405 states/eV/cell. The calculation puts the total DFT energy (no corrections) at -2.74 eV/atom.

3.
A relaxed structure of Na3FeBi, computed with PBE-GGA.

a = 5.4101 Å, b = 5.4101 Å, c = 5.4101 Å
α = 90.00°, β = 90.00°, γ = 90.00°
Fractional coordinates of all 5 atoms:
Na1 0.0000 0.0000 0.5000
Na2 0.0000 0.5000 0.0000
Na3 0.5000 0.0000 0.0000
Fe1 0.0000 0.0000 0.0000
Bi1 0.5000 0.5000 0.5000

Properties
The calculation puts the energy relative to the elements at 0.735 eV/atom. The value obtained for the calculated volume is 158.4 Å³ per cell. The calculation puts the density of states at the Fermi level at 10.530 states/eV/cell. For the offset from the most stable computed form, the calculation gives 60 meV/atom. The calculation puts the total DFT energy (no corrections) at -2.52 eV/atom.

4.
A relaxed structure of Tb3Ho2Ru3, computed with PBE-GGA.

a = 10.7731 Å, b = 10.7731 Å, c = 10.7731 Å
α = 161.48°, β = 152.53°, γ = 33.33°
Fractional coordinates of all 8 atoms:
Tb1 0.0000 0.0000 0.0000
Tb2 0.3890 0.8890 0.5000
Tb3 0.6110 0.1110 0.5000
Ho1 0.2190 0.2190 0.0000
Ho2 0.7810 0.7810 0.0000
Ru1 0.1156 0.6156 0.5000
Ru2 0.5000 0.5000 0.0000
Ru3 0.8844 0.3844 0.5000

Properties
The calculation puts the energy relative to the elements at -0.277 eV/atom. The value obtained for the calculated volume is 183.0 Å³ per cell. The calculation puts the density of states at the Fermi level at 4.321 states/eV/cell. The calculation puts the total DFT energy (no corrections) at -6.64 eV/atom.

5.
A relaxed structure of BaGe2TeS8, computed with PBE-GGA.

a = 9.6870 Å, b = 9.6870 Å, c = 9.6870 Å
α = 37.07°, β = 37.07°, γ = 37.07°
Fractional coordinates of all 12 atoms:
Ba1 0.0000 0.0000 0.0000
Ge1 0.2467 0.2467 0.2467
Ge2 0.7533 0.7533 0.7533
Te1 0.5000 0.5000 0.5000
S1 0.1099 0.4096 0.8082
S2 0.1918 0.8901 0.5904
S3 0.3283 0.3283 0.3283
S4 0.4096 0.8082 0.1099
S5 0.5904 0.1918 0.8901
S6 0.6717 0.6717 0.6717
S7 0.8082 0.1099 0.4096
S8 0.8901 0.5904 0.1918

Properties
The value obtained for the calculated volume is 296.0 Å³ per cell. The calculation puts the density of states at the Fermi level at 14.146 states/eV/cell. The calculation puts the formation energy (no corrections) at -0.30 eV/atom. The calculation puts the total DFT energy (no corrections) at -4.24 eV/atom.

6.
A relaxed structure of InIrCl, computed with PBE-GGA.

a = 4.4892 Å, b = 4.4892 Å, c = 4.4892 Å
α = 60.00°, β = 60.00°, γ = 60.00°
Fractional coordinates of all 3 atoms:
In1 0.0000 0.0000 0.0000
Ir1 0.2500 0.2500 0.2500
Cl1 0.5000 0.5000 0.5000

Properties
The value obtained for the calculated volume is 64.0 Å³ per cell. The calculation puts the density of states at the Fermi level at 4.039 states/eV/cell. The calculation puts the formation energy (no corrections) at 0.39 eV/atom. For the offset from the most stable computed form, the calculation gives 152 meV/atom. The calculation puts the total DFT energy (no corrections) at -4.09 eV/atom.

7.
A relaxed structure of Nd3CdNi, computed with PBE-GGA.

a = 5.3856 Å, b = 5.3856 Å, c = 5.3856 Å
α = 90.00°, β = 90.00°, γ = 90.00°
Fractional coordinates of all 5 atoms:
Nd1 0.0000 0.0000 0.5000
Nd2 0.0000 0.5000 0.0000
Nd3 0.5000 0.0000 0.0000
Cd1 0.5000 0.5000 0.5000
Ni1 0.0000 0.0000 0.0000

Properties
The calculation puts the energy relative to the elements at -0.049 eV/atom. The value obtained for the calculated volume is 156.2 Å³ per cell. The calculation puts the density of states at the Fermi level at 8.753 states/eV/cell. For the offset from the most stable computed form, the calculation gives 164 meV/atom. The calculation puts the total DFT energy (no corrections) at -4.25 eV/atom.

8.
A relaxed structure of KBPb, computed with PBE-GGA.

a = 3.2428 Å, b = 6.0102 Å, c = 8.6746 Å
α = 90.00°, β = 91.18°, γ = 90.00°
Fractional coordinates of all 6 atoms:
K1 0.0000 0.0000 0.0000
K2 0.0438 0.5000 0.6256
B1 0.2950 0.0000 0.6684
B2 0.7845 0.0000 0.6664
Pb1 0.5182 0.5000 0.2210
Pb2 0.5187 0.0000 0.3797

Properties
The calculation puts the energy relative to the elements at 0.144 eV/atom. The value obtained for the calculated volume is 169.0 Å³ per cell. The calculation puts the density of states at the Fermi level at 1.905 states/eV/cell. For the offset from the most stable computed form, the calculation gives 6 meV/atom. The calculation puts the total DFT energy (no corrections) at -3.68 eV/atom.

9.
A relaxed structure of PaH5Ru, computed with PBE-GGA.

a = 4.3754 Å, b = 4.3754 Å, c = 4.3754 Å
α = 125.00°, β = 118.45°, γ = 87.13°
Fractional coordinates of all 7 atoms:
Pa1 0.0000 0.0000 0.0000
H1 0.0351 0.3222 0.7129
H2 0.3907 0.6778 0.7129
H3 0.5000 0.0000 0.5000
H4 0.6093 0.3222 0.2871
H5 0.9649 0.6778 0.2871
Ru1 0.5000 0.5000 0.0000

Properties
The value obtained for the calculated volume is 57.4 Å³ per cell. The calculation puts the density of states at the Fermi level at 2.940 states/eV/cell. The calculation puts the total DFT energy (no corrections) at -5.37 eV/atom.

10.
A relaxed structure of K5CdAuO2, computed with PBE-GGA.

a = 5.4705 Å, b = 5.4705 Å, c = 9.6360 Å
α = 90.00°, β = 90.00°, γ = 90.00°
Fractional coordinates of all 9 atoms:
K1 0.0000 0.0000 0.0000
K2 0.0000 0.5000 0.2626
K3 0.0000 0.5000 0.7374
K4 0.5000 0.0000 0.2626
K5 0.5000 0.0000 0.7374
Cd1 0.0000 0.0000 0.5000
Au1 0.5000 0.5000 0.0000
O1 0.0000 0.0000 0.2805
O2 0.0000 0.0000 0.7195

Properties
The value obtained for the calculated volume is 288.4 Å³ per cell. The calculation puts the density of states at the Fermi level at 2.339 states/eV/cell. The calculation puts the formation energy (no corrections) at -0.72 eV/atom. The calculation puts the total DFT energy (no corrections) at -2.90 eV/atom.

11.
A relaxed structure of Np2Si4AgPt3, computed with PBE-GGA.

a = 4.2250 Å, b = 4.2250 Å, c = 9.9858 Å
α = 90.00°, β = 90.00°, γ = 90.00°
Fractional coordinates of all 10 atoms:
Np1 0.0000 0.5000 0.2455
Np2 0.5000 0.0000 0.7545
Si1 0.0000 0.0000 0.0000
Si2 0.0000 0.5000 0.6419
Si3 0.5000 0.0000 0.3581
Si4 0.5000 0.5000 0.0000
Ag1 0.0000 0.0000 0.5000
Pt1 0.0000 0.5000 0.8809
Pt2 0.5000 0.0000 0.1191
Pt3 0.5000 0.5000 0.5000

Properties
The value obtained for the calculated volume is 178.3 Å³ per cell. The calculation puts the density of states at the Fermi level at 20.678 states/eV/cell. The calculation puts the formation energy (no corrections) at -0.59 eV/atom. The calculation puts the total DFT energy (no corrections) at -7.44 eV/atom.

12.
A relaxed structure of NbZnIn2, computed with PBE-GGA.

a = 6.0961 Å, b = 6.0961 Å, c = 6.0961 Å
α = 103.09°, β = 103.09°, γ = 123.17°
Fractional coordinates of all 8 atoms:
Nb1 0.0000 0.0000 0.0000
Nb2 0.7500 0.2500 0.5000
Zn1 0.2500 0.7500 0.5000
Zn2 0.5000 0.5000 0.0000
In1 0.1527 0.6250 0.0277
In2 0.3750 0.4027 0.5277
In3 0.5973 0.1250 0.9723
In4 0.8750 0.8473 0.4723

Properties
The calculation puts the energy relative to the elements at 0.368 eV/atom. The value obtained for the calculated volume is 166.8 Å³ per cell. The calculation puts the density of states at the Fermi level at 7.987 states/eV/cell. The calculation puts the total DFT energy (no corrections) at -3.84 eV/atom.

| no. | spin magnetization (μB per atom) |
| --- | --- |
| 1 | 0.000 |
| 2 | 0.234 |
| 3 | 0.798 |
| 4 | 0.000 |
| 5 | 0.132 |
| 6 | 0.000 |
| 7 | 0.000 |
| 8 | 0.000 |
| 9 | 0.000 |
| 10 | 0.000 |
| 11 | 0.761 |
| 12 | 0.000 |